No. 1
Entry from the Alexandria database: crystalline MgSi2Te at its relaxed geometry (PBE).

Values from the calculation:
As for the formation energy (no corrections): 1.69 eV/f.u. The polymorph energy (0 for the lowest one) is 331.4 meV/atom. The total energy comes out at -27.786 eV per cell. The density of states at the Fermi level is 0.0000 states/eV/atom. As for the crystal system: tetragonal. As for the space group: I-42d.

Unit cell a=7.432 b=7.432 c=7.432 alpha=130.51 beta=130.51 gamma=72.59
Fractional coordinates of all 8 atoms:
1 Mg 0.000 0.000 0.000
2 Mg 0.750 0.250 0.500
3 Si 0.121 0.625 0.996
4 Si 0.375 0.371 0.496
5 Si 0.629 0.125 0.004
6 Si 0.875 0.879 0.504
7 Te 0.250 0.750 0.500
8 Te 0.500 0.500 0.000

No. 2
Entry from the Alexandria database: crystalline MgSi2Te at its relaxed geometry (PBE).

Values from the calculation:
As for the formation energy (no corrections): 1.02 eV/f.u. The polymorph energy (0 for the lowest one) is 164.3 meV/atom. The total energy comes out at -14.561 eV per cell. The density of states at the Fermi level is 0.2391 states/eV/atom. As for the crystal system: monoclinic. As for the space group: C2/m.

Unit cell a=5.417 b=5.417 c=5.054 alpha=112.20 beta=112.20 gamma=40.16
Fractional coordinates of all 4 atoms:
1 Mg 0.000 0.000 0.000
2 Si 0.237 0.237 0.831
3 Si 0.763 0.763 0.169
4 Te 0.500 0.500 0.500

No. 3
Entry from the Alexandria database: crystalline MgSi2Te6 at its relaxed geometry (PBE).

Values from the calculation:
As for the formation energy (no corrections): -0.65 eV/f.u. The total energy comes out at -63.886 eV per cell. The density of states at the Fermi level is 0.6378 states/eV/atom. As for the crystal system: monoclinic. As for the space group: C2/c.

Unit cell a=9.367 b=9.367 c=7.133 alpha=102.62 beta=102.62 gamma=81.43
Fractional coordinates of all 18 atoms:
1 Mg 0.123 0.877 0.750
2 Mg 0.877 0.123 0.250
3 Si 0.211 0.378 0.766
4 Si 0.378 0.211 0.266
5 Si 0.622 0.789 0.734
6 Si 0.789 0.622 0.234
7 Te 0.026 0.190 0.674
8 Te 0.070 0.623 0.883
9 Te 0.190 0.026 0.174
10 Te 0.303 0.450 0.494
11 Te 0.377 0.930 0.617
12 Te 0.450 0.303 0.994
13 Te 0.550 0.697 0.006
14 Te 0.623 0.070 0.383
15 Te 0.697 0.550 0.506
16 Te 0.810 0.974 0.826
17 Te 0.930 0.377 0.117
18 Te 0.974 0.810 0.326

No. 4
Entry from the Alexandria database: crystalline MgSi2Te at its relaxed geometry (PBE).

Values from the calculation:
As for the formation energy (no corrections): 0.65 eV/f.u. The polymorph energy (0 for the lowest one) is 72.7 meV/atom. The total energy comes out at -14.928 eV per cell. The density of states at the Fermi level is 0.3938 states/eV/atom. As for the crystal system: orthorhombic. As for the space group: Fmmm.

Unit cell a=6.022 b=5.986 c=3.961 alpha=71.23 beta=70.25 gamma=38.52
Fractional coordinates of all 4 atoms:
1 Mg 0.000 0.000 0.000
2 Si 0.000 0.500 0.500
3 Si 0.500 0.000 0.000
4 Te 0.500 0.500 0.500

Repeat the third record exactly.
Entry from the Alexandria database: crystalline MgSi2Te6 at its relaxed geometry (PBE).

Values from the calculation:
As for the formation energy (no corrections): -0.65 eV/f.u. The total energy comes out at -63.886 eV per cell. The density of states at the Fermi level is 0.6378 states/eV/atom. As for the crystal system: monoclinic. As for the space group: C2/c.

Unit cell a=9.367 b=9.367 c=7.133 alpha=102.62 beta=102.62 gamma=81.43
Fractional coordinates of all 18 atoms:
1 Mg 0.123 0.877 0.750
2 Mg 0.877 0.123 0.250
3 Si 0.211 0.378 0.766
4 Si 0.378 0.211 0.266
5 Si 0.622 0.789 0.734
6 Si 0.789 0.622 0.234
7 Te 0.026 0.190 0.674
8 Te 0.070 0.623 0.883
9 Te 0.190 0.026 0.174
10 Te 0.303 0.450 0.494
11 Te 0.377 0.930 0.617
12 Te 0.450 0.303 0.994
13 Te 0.550 0.697 0.006
14 Te 0.623 0.070 0.383
15 Te 0.697 0.550 0.506
16 Te 0.810 0.974 0.826
17 Te 0.930 0.377 0.117
18 Te 0.974 0.810 0.326